# 1
A geometry-optimized InP2PtO structure. Source: the Alexandria database, functional PBE.

Cell: 5.037 5.037 3.887 Å, 90.00 90.00 90.00°
Sites, in units of the cell vectors:
1 Pt 0.500 0.500 0.500
2 P 0.000 0.500 0.000
3 P 0.500 0.000 0.000
4 In 0.000 0.000 0.000
5 O 0.000 0.000 0.500

- relative energy among the computed polymorphs (meV/atom) = 628
- formation energy from raw total energies (eV/atom) = 0.921

# 2
A geometry-optimized Rb2InP2O6 structure. Source: the Alexandria database, functional PBE.

Cell: 5.980 5.980 6.924 Å, 64.42 64.42 60.00°
Sites, in units of the cell vectors:
1 P 0.438 0.438 0.686
2 P 0.562 0.562 0.314
3 O 0.271 0.271 0.753
4 O 0.271 0.705 0.753
5 O 0.295 0.729 0.247
6 O 0.729 0.729 0.247
7 O 0.705 0.271 0.753
8 O 0.729 0.295 0.247
9 Rb 0.775 0.775 0.674
10 Rb 0.225 0.225 0.326
11 In 0.000 0.000 0.000

- formation energy from raw total energies (eV/atom) = -1.911